This record from Alexandria via LeMat-Bulk describes Rb2MnTl2F6 after structural relaxation. The functional is PBE with a Hubbard U.

Summary:
Its crystal system is monoclinic. The magnetization is 5.0 μB/f.u. The total energy is -4.641 eV per atom.

Lattice parameters (Å, degrees): 6.9163 11.4959 6.5030 90.00 105.13 90.00
Space group C2/m (No. 12)
Unique sites:
Rb: 0.0000 0.1569 0.0000 x4
Mn: 0.0000 0.5000 0.0000 x2
Tl: 0.0000 0.3369 0.5000 x4
F: 0.1798 0.3645 0.1837 x8
F: 0.1825 0.5000 0.7629 x4